9
Lattice="-4.337 1.707 -0.842 0.089 -4.703 3.329 1.013 5.963 6.875" Properties=species:S:1:pos:R:3 comment="Ca3Cd2Ag4, optimized geometry, DFT PBE-GGA" sg="No. 12" vol_a3_per_atom=25.18 formation_energy_ev_per_atom=-0.28 magnetic_moment_mub_per_cell=0.00 pbc="T T T"
Ca -0.934 0.777 6.387
Ca 0.000 0.000 0.000
Ca -2.301 2.191 2.975
Cd -1.054 -0.992 3.420
Cd -2.181 3.960 5.942
Ag -2.990 -0.339 1.395
Ag 0.315 3.174 4.811
Ag -3.551 -0.206 4.551
Ag -0.245 3.307 7.967